A relaxed AgIrBr crystal. Source: Alexandria via LeMat-Bulk, functional PBE.

Values from the calculation:
* uncorrected energy: -3.6226 eV per atom
* ρ: 11488 kg/m3
* E above lowest polymorph: 116.7 meV/atom

Cell: 4.5034 4.5034 3.1272 Å, 90.00 90.00 120.00°
Closest atoms and distances in Å follow each position.
Atoms (fractional coordinates):
Ag: 0.0000 0.0000 0.0000  6 Br 3.03, 6 Ir 3.03, 2 Ag 3.13
Ir: 0.3333 0.6667 0.5000  3 Br 2.60
Br: 0.6667 0.3333 0.5000  3 Ir 2.60